No. 1
# PBE SmHoPbSe, optimized geometry
data_SmHoPbSe
_symmetry_space_group_name_H-M 'P 4/m m m'
_symmetry_Int_Tables_number 123
_symmetry_space_group_name_Hall '-P 4 2'
_cell_length_a 4.339
_cell_length_b 4.339
_cell_length_c 6.071
_cell_angle_alpha 90.00
_cell_angle_beta 90.00
_cell_angle_gamma 90.00
loop_
_atom_site_label
_atom_site_type_symbol
_atom_site_fract_x
_atom_site_fract_y
_atom_site_fract_z
_atom_site_occupancy
Sm1 Sm 0.000 0.000 0.000 1
Ho1 Ho 0.500 0.500 0.500 1
Pb1 Pb 0.500 0.500 0.000 1
Se1 Se 0.000 0.000 0.500 1
# Crystal system = tetragonal
# Formation energy without anion corrections = -1.11 eV per atom
# DOS(E_F) = 0.7 states/eV/f.u.

No. 2
# PBE Ho6Sn2PbSe3, optimized geometry
data_Ho6Sn2PbSe3
_symmetry_space_group_name_H-M 'C 1 2/m 1'
_symmetry_Int_Tables_number 12
_cell_length_a 18.559
_cell_length_b 4.231
_cell_length_c 8.518
_cell_angle_alpha 90.00
_cell_angle_beta 104.63
_cell_angle_gamma 90.00
loop_
_symmetry_equiv_pos_as_xyz
'x,y,z'
'-x,-y,-z'
'-x,y,-z'
'x,-y,z'
'x+1/2,y+1/2,z'
'-x+1/2,-y+1/2,-z'
'-x+1/2,y+1/2,-z'
'x+1/2,-y+1/2,z'
loop_
_atom_site_label
_atom_site_type_symbol
_atom_site_fract_x
_atom_site_fract_y
_atom_site_fract_z
_atom_site_occupancy
Ho1 Ho 0.002 0.000 0.242 1
Ho2 Ho 0.166 0.500 0.086 1
Ho3 Ho 0.170 0.500 0.580 1
Sn1 Sn 0.166 0.000 0.832 1
Pb1 Pb 0.000 0.500 0.500 1
Se1 Se 0.000 0.500 0.000 1
Se2 Se 0.167 0.000 0.332 1
# Crystal system = monoclinic
# Formation energy without anion corrections = -1.16 eV per atom
# DOS(E_F) = 4.8 states/eV/f.u.

No. 3
# PBE SrHoPb2Se4, optimized geometry
data_SrHoPb2Se4
_symmetry_space_group_name_H-M 'P 1 2/m 1'
_symmetry_Int_Tables_number 10
_cell_length_a 7.578
_cell_length_b 4.155
_cell_length_c 7.806
_cell_angle_alpha 90.00
_cell_angle_beta 104.75
_cell_angle_gamma 90.00
loop_
_symmetry_equiv_pos_as_xyz
'x,y,z'
'-x,-y,-z'
'-x,y,-z'
'x,-y,z'
loop_
_atom_site_label
_atom_site_type_symbol
_atom_site_fract_x
_atom_site_fract_y
_atom_site_fract_z
_atom_site_occupancy
Sr1 Sr 0.000 0.000 0.000 1
Ho1 Ho 0.000 0.500 0.500 1
Pb1 Pb 0.500 0.000 0.500 1
Pb2 Pb 0.500 0.500 0.000 1
Se1 Se 0.212 0.000 0.708 1
Se2 Se 0.242 0.500 0.260 1
# Crystal system = monoclinic
# Formation energy without anion corrections = -1.18 eV per atom
# DOS(E_F) = 2.3 states/eV/f.u.

No. 4
# PBE Sr2HoPbSe4, optimized geometry
data_Sr2HoPbSe4
_symmetry_space_group_name_H-M 'P 1 2/m 1'
_symmetry_Int_Tables_number 10
_cell_length_a 7.481
_cell_length_b 4.321
_cell_length_c 7.551
_cell_angle_alpha 90.00
_cell_angle_beta 109.37
_cell_angle_gamma 90.00
loop_
_symmetry_equiv_pos_as_xyz
'x,y,z'
'-x,-y,-z'
'-x,y,-z'
'x,-y,z'
loop_
_atom_site_label
_atom_site_type_symbol
_atom_site_fract_x
_atom_site_fract_y
_atom_site_fract_z
_atom_site_occupancy
Sr1 Sr 0.000 0.000 0.000 1
Sr2 Sr 0.000 0.500 0.500 1
Ho1 Ho 0.500 0.000 0.500 1
Pb1 Pb 0.500 0.500 0.000 1
Se1 Se 0.262 0.000 0.740 1
Se2 Se 0.268 0.500 0.267 1
# Crystal system = monoclinic
# Formation energy without anion corrections = -1.54 eV per atom
# DOS(E_F) = 3.2 states/eV/f.u.

No. 5
# PBE Ho4TePbSe2, optimized geometry
data_Ho4TePbSe2
_symmetry_space_group_name_H-M 'P 1 2/m 1'
_symmetry_Int_Tables_number 10
_cell_length_a 7.324
_cell_length_b 4.221
_cell_length_c 7.329
_cell_angle_alpha 90.00
_cell_angle_beta 109.36
_cell_angle_gamma 90.00
loop_
_symmetry_equiv_pos_as_xyz
'x,y,z'
'-x,-y,-z'
'-x,y,-z'
'x,-y,z'
loop_
_atom_site_label
_atom_site_type_symbol
_atom_site_fract_x
_atom_site_fract_y
_atom_site_fract_z
_atom_site_occupancy
Ho1 Ho 0.236 0.000 0.228 1
Ho2 Ho 0.251 0.500 0.767 1
Te1 Te 0.500 0.500 0.500 1
Pb1 Pb 0.000 0.000 0.500 1
Se1 Se 0.000 0.500 0.000 1
Se2 Se 0.500 0.000 0.000 1
# Crystal system = monoclinic
# Formation energy without anion corrections = -1.31 eV per atom
# DOS(E_F) = 3.0 states/eV/f.u.

No. 6
# PBE Ho4TePb2Se, optimized geometry
data_Ho4TePb2Se
_symmetry_space_group_name_H-M 'P 1 2/m 1'
_symmetry_Int_Tables_number 10
_cell_length_a 7.518
_cell_length_b 4.314
_cell_length_c 7.525
_cell_angle_alpha 90.00
_cell_angle_beta 109.26
_cell_angle_gamma 90.00
loop_
_symmetry_equiv_pos_as_xyz
'x,y,z'
'-x,-y,-z'
'-x,y,-z'
'x,-y,z'
loop_
_atom_site_label
_atom_site_type_symbol
_atom_site_fract_x
_atom_site_fract_y
_atom_site_fract_z
_atom_site_occupancy
Ho1 Ho 0.247 0.000 0.241 1
Ho2 Ho 0.253 0.500 0.759 1
Te1 Te 0.000 0.000 0.500 1
Pb1 Pb 0.500 0.000 0.000 1
Pb2 Pb 0.500 0.500 0.500 1
Se1 Se 0.000 0.500 0.000 1
# Crystal system = monoclinic
# Formation energy without anion corrections = -0.98 eV per atom
# DOS(E_F) = 3.2 states/eV/f.u.

No. 7
# PBE Ho8Te4PbSe3, optimized geometry
data_Ho8Te4PbSe3
_symmetry_space_group_name_H-M 'R -3 m'
_symmetry_Int_Tables_number 166
_symmetry_space_group_name_Hall '-R 3 2"'
_cell_length_a 8.4544
_cell_length_b 8.4544
_cell_length_c 21.1035
_cell_angle_alpha 90.00
_cell_angle_beta 90.00
_cell_angle_gamma 120.00
loop_
_atom_site_label
_atom_site_type_symbol
_atom_site_fract_x
_atom_site_fract_y
_atom_site_fract_z
_atom_site_occupancy
Ho1 Ho 0.0000 0.0000 0.2381 1
Ho2 Ho 0.0114 0.5057 0.7582 1
Te1 Te 0.0000 0.0000 0.0000 1
Te2 Te 0.0000 0.5000 0.0000 1
Pb1 Pb 0.0000 0.0000 0.5000 1
Se1 Se 0.0000 0.5000 0.5000 1
# Crystal system = trigonal
# Formation energy without anion corrections = -1.35 eV per atom
# DOS(E_F) = 6.1 states/eV/f.u.

No. 8
# PBE Ho6TePb2Se3, optimized geometry
data_Ho6TePb2Se3
_symmetry_space_group_name_H-M 'C 1 2/m 1'
_symmetry_Int_Tables_number 12
_cell_length_a 18.444
_cell_length_b 4.239
_cell_length_c 8.492
_cell_angle_alpha 90.00
_cell_angle_beta 102.93
_cell_angle_gamma 90.00
loop_
_symmetry_equiv_pos_as_xyz
'x,y,z'
'-x,-y,-z'
'-x,y,-z'
'x,-y,z'
'x+1/2,y+1/2,z'
'-x+1/2,-y+1/2,-z'
'-x+1/2,y+1/2,-z'
'x+1/2,-y+1/2,z'
loop_
_atom_site_label
_atom_site_type_symbol
_atom_site_fract_x
_atom_site_fract_y
_atom_site_fract_z
_atom_site_occupancy
Ho1 Ho 0.001 0.000 0.233 1
Ho2 Ho 0.164 0.500 0.090 1
Ho3 Ho 0.171 0.500 0.580 1
Te1 Te 0.000 0.500 0.500 1
Pb1 Pb 0.167 0.000 0.832 1
Se1 Se 0.000 0.500 0.000 1
Se2 Se 0.164 0.000 0.335 1
# Crystal system = monoclinic
# Formation energy without anion corrections = -1.23 eV per atom
# DOS(E_F) = 4.6 states/eV/f.u.